Below is crystalline RbSeBrN2 at its relaxed geometry, with properties calculated at the GGA-PBE level.

```
RbSeBrN2
1.0
-0.4442 3.8489 -2.5317
-4.3577 -1.1763 -1.0237
-1.7821 2.7247 4.4550
Se Br Rb N
1 1 1 2
Cartesian
-0.8910 1.3624 2.2275 Se
0.0000 0.0000 0.0000 Br
-3.2920 2.6987 0.4498 Rb
-2.1789 -0.5882 -0.5119 N
-0.2221 1.9245 -1.2659 N
```

Values from the calculation:
Total DFT energy (no corrections) (eV/atom): -2.9257
M_tot (μB per formula unit): 3.50
V (Å³/atom): 23.640